{"formula": "TbEr12Th3", "functional": "PBE", "state": "relaxed", "lattice": [[4.991, 0.000, 0.000], [0.000, 4.991, 0.000], [0.000, 0.000, 19.879]], "species": ["Tb", "Er", "Er", "Er", "Er", "Er", "Er", "Er", "Er", "Er", "Er", "Er", "Er", "Th", "Th", "Th"], "fractional_positions": [[0.000, 0.000, 0.000], [0.000, 0.500, 0.126], [0.000, 0.500, 0.375], [0.000, 0.500, 0.625], [0.000, 0.500, 0.874], [0.500, 0.000, 0.126], [0.500, 0.000, 0.375], [0.500, 0.000, 0.625], [0.500, 0.000, 0.874], [0.500, 0.500, 0.000], [0.500, 0.500, 0.250], [0.500, 0.500, 0.500], [0.500, 0.500, 0.750], [0.000, 0.000, 0.251], [0.000, 0.000, 0.500], [0.000, 0.000, 0.749]], "vol_a3_per_cell": 495.1, "density_g_cm3": 9.6, "e_form_ev_per_atom": 0.03}